(1)
Compound: Zn2InF2
Source: Alexandria via LeMat-Bulk
Functional: PBE
Structure: optimized geometry

Output
calculated density: 5.38 Mg/m³
relative energy among the computed polymorphs: 108 meV/atom
raw formation energy: -0.980 eV/atom
space-group type: I4/mmm (139)
E: -2.786 eV/atom
density of states at the Fermi level: 0.1641 states/eV/atom

```
Zn2InF2
1.0
-1.753 1.753 7.126
1.753 -1.753 7.126
1.753 1.753 -7.126
Zn In F
2 1 2
Direct
0.250 0.750 0.500
0.750 0.250 0.500
0.000 0.000 0.000
0.391 0.391 0.000
0.609 0.609 0.000
```

(2)
Compound: Zn2InF
Source: Alexandria via LeMat-Bulk
Functional: PBE
Structure: optimized geometry

Output
calculated density: 6.02 Mg/m³
relative energy among the computed polymorphs: 171 meV/atom
raw formation energy: -0.381 eV/atom
space-group type: Fm-3m (225)
E: -2.171 eV/atom
density of states at the Fermi level: 0.3136 states/eV/atom

```
Zn2InF
1.0
0.000 3.316 3.316
3.316 0.000 3.316
3.316 3.316 0.000
Zn In F
2 1 1
Direct
0.250 0.250 0.250
0.750 0.750 0.750
0.000 0.000 0.000
0.500 0.500 0.500
```

> Which of these has the lowest density of states at the Fermi level?

Zn2InF2

> Which formula does entry 2 have?

Zn2InF

What did the second record say?
Compound: Zn2InF
Source: Alexandria via LeMat-Bulk
Functional: PBE
Structure: optimized geometry

Output
calculated density: 6.02 Mg/m³
relative energy among the computed polymorphs: 171 meV/atom
raw formation energy: -0.381 eV/atom
space-group type: Fm-3m (225)
E: -2.171 eV/atom
density of states at the Fermi level: 0.3136 states/eV/atom

```
Zn2InF
1.0
0.000 3.316 3.316
3.316 0.000 3.316
3.316 3.316 0.000
Zn In F
2 1 1
Direct
0.250 0.250 0.250
0.750 0.750 0.750
0.000 0.000 0.000
0.500 0.500 0.500
```